[1]
Density functional theory data (PBE) for a geometry-optimized Hf2MgZrO structure.

Calculated values
Density of states at the Fermi level in states/eV per cell: 2.99
Raw total energy in eV per atom: -7.96

```
Hf2MgZrO
1.0
4.400 0.000 0.000
0.000 4.400 0.000
0.000 0.000 4.682
Mg Zr O Hf
1 1 1 2
Cartesian
2.200 2.200 2.341
0.000 0.000 2.341
0.000 0.000 0.000
2.200 0.000 0.000
0.000 2.200 0.000
```

---

[2]
Density functional theory data (PBE) for a geometry-optimized Hf6MgOs structure.

Calculated values
Density of states at the Fermi level in states/eV per cell: 7.88
Raw total energy in eV per atom: -8.73
DFT formation energy in meV per atom: 342.9

```
Hf6MgOs
1.0
6.007 0.862 0.000
2.336 5.857 0.000
1.168 2.928 5.351
Hf Mg Os
6 1 1
Cartesian
6.148 4.942 0.000
4.403 7.435 3.072
6.276 5.140 3.072
5.108 2.212 2.279
2.196 1.776 0.000
3.235 4.507 2.279
0.000 0.000 0.000
4.172 3.359 0.000
```

---

[3]
Density functional theory data (PBE) for a geometry-optimized Hf5MgOs4 structure.

Calculated values
Density of states at the Fermi level in states/eV per cell: 2.65
Raw total energy in eV per atom: -10.15
DFT formation energy in meV per atom: -522.1

```
Hf5MgOs4
1.0
3.265 0.000 0.000
0.000 3.265 0.000
0.000 0.000 16.799
Hf Os Mg
5 4 1
Cartesian
1.632 1.632 8.399
1.632 1.632 14.894
1.632 1.632 5.149
1.632 1.632 1.905
1.632 1.632 11.650
0.000 0.000 3.488
0.000 0.000 10.030
0.000 0.000 6.769
0.000 0.000 13.311
0.000 0.000 0.000
```

---

[4]
Density functional theory data (PBE) for a geometry-optimized HfMg3Os structure.

Calculated values
Density of states at the Fermi level in states/eV per cell: 5.06
Raw total energy in eV per atom: -4.34
DFT formation energy in meV per atom: 857.8

```
HfMg3Os
1.0
4.871 0.000 0.000
0.000 4.871 0.000
0.000 0.000 4.871
Os Mg Hf
1 3 1
Cartesian
0.000 0.000 0.000
2.435 0.000 0.000
0.000 0.000 2.435
0.000 2.435 0.000
2.435 2.435 2.435
```

---

> Which value of raw total energy does entry 1 give?

-7.96 eV per atom

---

> density of states at the Fermi level of number 1 (Hf2MgZrO)?

2.99 states/eV per cell

---

> Look up the raw total energy of the second one.

-8.73 eV per atom